# KFe3Pb

Crystalline KFe3Pb at its relaxed geometry (PBE, the Alexandria database).

Offset from the most stable computed form in meV/atom: 807
Uncorrected energy in eV per cell: -19.230
Energy relative to the elements in eV per atom: 2.193

Cell and atoms, written as extended XYZ:
```
5
Lattice="4.713 0.000 0.000 0.000 4.713 0.000 0.000 0.000 4.713" Properties=species:S:1:pos:R:3 pbc="T T T"
Pb 2.356 2.356 2.356
K 0.000 0.000 0.000
Fe 0.000 2.356 0.000
Fe 0.000 0.000 2.356
Fe 2.356 0.000 0.000
```